This record from the Alexandria database describes an optimized crystal structure of LaPm4Dy2Y2. The functional is PBE.

Summary:
The calculation puts the formation energy at 0.019 eV per atom. As for the total energy: -5.10 eV per atom. The density of states at the Fermi level comes out at 13.547 states/eV/cell. Its crystal system is monoclinic.

a = 5.116 Å, b = 8.092 Å, c = 8.090 Å
α = 107.28°, β = 90.00°, γ = 108.43°
Fractional positions:
Pm1 0.556 0.111 0.333
Pm2 0.444 0.889 0.667
Dy1 0.331 0.663 0.001
Y1 0.112 0.223 0.666
La1 0.000 0.000 0.000
Y2 0.888 0.777 0.334
Pm3 0.223 0.445 0.332
Dy2 0.669 0.337 0.999
Pm4 0.777 0.555 0.668